Record 1
TbDyAg2Bi4: optimized geometry, PBE. Values from VASP.

```
&SYSTEM
  ibrav = 0, nat = 8, ntyp = 4
/
ATOMIC_SPECIES
Bi 208.98 Bi.upf
Ag 107.87 Ag.upf
Tb 158.93 Tb.upf
Dy 162.50 Dy.upf
CELL_PARAMETERS angstrom
-0.157 -4.004 2.133
2.231 -1.927 -3.453
8.936 2.101 4.601
ATOMIC_POSITIONS crystal
Bi 0.000 0.000 0.190
Bi 0.500 0.000 0.500
Bi 0.500 0.500 0.809
Ag 0.500 0.000 0.000
Ag 0.000 0.500 0.000
Bi 0.000 0.500 0.500
Tb 0.500 0.500 0.252
Dy 0.000 0.000 0.748
```

- energy (eV per cell) = -34.73
- M_tot (μB/atom) = 0.00


Record 2
DyYAg2Bi4: optimized geometry, PBE. Values from VASP.

```
&SYSTEM
  ibrav = 0, nat = 8, ntyp = 4
/
ATOMIC_SPECIES
Bi 208.98 Bi.upf
Y 88.91 Y.upf
Ag 107.87 Ag.upf
Dy 162.50 Dy.upf
CELL_PARAMETERS angstrom
-3.557 2.301 -1.592
-1.517 -3.750 -2.029
-5.340 -2.409 8.449
ATOMIC_POSITIONS crystal
Bi 0.500 0.000 0.501
Y 0.000 0.000 0.252
Ag 0.000 0.500 0.000
Bi 0.500 0.500 0.190
Bi 0.000 0.500 0.501
Dy 0.500 0.500 0.748
Ag 0.500 0.000 0.000
Bi 0.000 0.000 0.809
```

- energy (eV per cell) = -36.54
- M_tot (μB/atom) = 0.00


Record 3
HoErAg2Bi4: optimized geometry, PBE. Values from VASP.

```
&SYSTEM
  ibrav = 0, nat = 8, ntyp = 4
/
ATOMIC_SPECIES
Ag 107.87 Ag.upf
Ho 164.93 Ho.upf
Bi 208.98 Bi.upf
Er 167.26 Er.upf
CELL_PARAMETERS angstrom
-3.125 -2.918 1.498
-0.246 -1.855 -4.126
7.374 -6.598 2.528
ATOMIC_POSITIONS crystal
Ag 0.500 0.000 0.000
Ho 0.500 0.500 0.748
Ag 0.000 0.500 0.000
Bi 0.500 0.500 0.194
Bi 0.000 0.000 0.807
Bi 0.000 0.500 0.500
Er 0.000 0.000 0.252
Bi 0.500 0.000 0.500
```

- energy (eV per cell) = -34.35
- M_tot (μB/atom) = 0.00


Record 4
PrErAg2Bi4: optimized geometry, PBE. Values from VASP.

```
&SYSTEM
  ibrav = 0, nat = 8, ntyp = 4
/
ATOMIC_SPECIES
Pr 140.91 Pr.upf
Ag 107.87 Ag.upf
Bi 208.98 Bi.upf
Er 167.26 Er.upf
CELL_PARAMETERS angstrom
4.566 0.000 0.000
0.000 4.566 0.000
0.000 0.000 10.400
ATOMIC_POSITIONS crystal
Pr 0.500 0.500 0.254
Ag 0.000 0.500 0.995
Bi 0.500 0.000 0.507
Bi 0.000 0.500 0.507
Er 0.000 0.000 0.751
Bi 0.000 0.000 0.183
Ag 0.500 0.000 0.995
Bi 0.500 0.500 0.809
```

- energy (eV per cell) = -34.99
- M_tot (μB/atom) = 0.00


> Which value of energy does entry 2 give?

-36.54 eV per cell


> The highest energy belongs to which entry?

HoErAg2Bi4


Repeat the fourth record exactly.
PrErAg2Bi4: optimized geometry, PBE. Values from VASP.

```
&SYSTEM
  ibrav = 0, nat = 8, ntyp = 4
/
ATOMIC_SPECIES
Pr 140.91 Pr.upf
Ag 107.87 Ag.upf
Bi 208.98 Bi.upf
Er 167.26 Er.upf
CELL_PARAMETERS angstrom
4.566 0.000 0.000
0.000 4.566 0.000
0.000 0.000 10.400
ATOMIC_POSITIONS crystal
Pr 0.500 0.500 0.254
Ag 0.000 0.500 0.995
Bi 0.500 0.000 0.507
Bi 0.000 0.500 0.507
Er 0.000 0.000 0.751
Bi 0.000 0.000 0.183
Ag 0.500 0.000 0.995
Bi 0.500 0.500 0.809
```

- energy (eV per cell) = -34.99
- M_tot (μB/atom) = 0.00


> Number 3 is which compound?

HoErAg2Bi4